No. 1
Material: CaNd4Sm3Te8
Method: DFT, GGA-PBE
State: optimized geometry

```
16
Lattice="4.469 2.580 7.341 -4.469 2.580 7.341 0.000 -5.160 7.341" Properties=species:S:1:pos:R:3 pbc="T T T"
Ca 0.000 0.000 0.000
Nd -4.469 0.000 11.012
Nd -2.235 1.290 3.671
Nd 2.235 1.290 3.671
Nd 0.000 0.000 11.012
Sm -2.235 -1.290 7.341
Sm -2.235 1.290 14.682
Sm 0.000 2.580 7.341
Te 0.000 -2.594 9.134
Te -2.247 1.297 9.134
Te -2.247 -1.297 12.889
Te 0.000 0.000 5.538
Te 0.000 0.000 16.485
Te 2.247 1.297 9.134
Te 2.247 -1.297 12.889
Te 0.000 2.594 12.889
```

Summary:
Raw formation energy   -1426 meV/atom

=====

No. 2
Material: CaNd3Sm2Te6
Method: DFT, GGA-PBE
State: optimized geometry

```
12
Lattice="9.775 -2.230 0.000 9.775 2.230 0.000 -2.114 0.000 8.749" Properties=species:S:1:pos:R:3 pbc="T T T"
Ca 0.000 0.000 0.000
Nd -1.057 0.000 4.375
Nd 6.127 0.000 1.506
Nd 11.309 0.000 7.244
Sm 5.045 0.000 5.771
Sm 12.391 0.000 2.978
Te 3.034 0.000 0.735
Te 2.011 0.000 5.073
Te 8.141 0.000 6.598
Te 9.295 0.000 2.151
Te 15.425 0.000 3.677
Te 14.402 0.000 8.014
```

Summary:
Raw formation energy   -1444 meV/atom

=====

No. 3
Material: CaNd2Sm3Te6
Method: DFT, GGA-PBE
State: optimized geometry

```
12
Lattice="9.755 -2.228 0.000 9.755 2.228 0.000 -2.074 0.000 8.733" Properties=species:S:1:pos:R:3 pbc="T T T"
Ca 0.000 0.000 0.000
Nd 5.042 0.000 5.749
Nd 12.394 0.000 2.985
Sm -1.037 0.000 4.367
Sm 6.094 0.000 1.498
Sm 11.343 0.000 7.236
Te 1.971 0.000 5.107
Te 3.049 0.000 0.687
Te 9.238 0.000 2.164
Te 8.198 0.000 6.569
Te 14.387 0.000 8.047
Te 15.466 0.000 3.627
```

Summary:
Raw formation energy   -1439 meV/atom

=====

No. 4
Material: Ca3Nd2SmTe6
Method: DFT, GGA-PBE
State: optimized geometry

```
12
Lattice="9.856 -2.225 0.000 9.856 2.225 0.000 -2.319 0.000 8.754" Properties=species:S:1:pos:R:3 pbc="T T T"
Ca 0.000 0.000 0.000
Ca 5.010 0.000 5.829
Ca 12.383 0.000 2.925
Nd 6.164 0.000 1.432
Nd 11.229 0.000 7.322
Sm -1.160 0.000 4.377
Te 3.044 0.000 0.767
Te 1.932 0.000 5.080
Te 8.099 0.000 6.561
Te 9.294 0.000 2.193
Te 15.461 0.000 3.674
Te 14.349 0.000 7.987
```

Summary:
Raw formation energy   -1509 meV/atom

=====

No. 5
Material: Ca3NdSm2Te6
Method: DFT, GGA-PBE
State: optimized geometry

```
12
Lattice="9.834 -2.221 0.000 9.834 2.221 0.000 -2.310 0.000 8.736" Properties=species:S:1:pos:R:3 pbc="T T T"
Ca 0.000 0.000 0.000
Ca 5.029 0.000 5.833
Ca 12.330 0.000 2.903
Nd -1.155 0.000 4.368
Sm 6.194 0.000 1.488
Sm 11.165 0.000 7.248
Te 3.099 0.000 0.721
Te 1.968 0.000 5.086
Te 8.081 0.000 6.590
Te 9.278 0.000 2.146
Te 15.391 0.000 3.651
Te 14.260 0.000 8.015
```

Summary:
Raw formation energy   -1504 meV/atom

=====

No. 6
Material: CaNdSm2Tl4
Method: DFT, GGA-PBE
State: optimized geometry

```
8
Lattice="2.735 1.579 9.020 -2.735 1.579 9.020 0.000 -3.158 9.020" Properties=species:S:1:pos:R:3 pbc="T T T"
Ca 0.000 0.000 0.000
Nd 0.000 0.000 13.530
Sm 0.000 0.000 6.857
Sm 0.000 0.000 20.203
Tl 0.000 0.000 3.397
Tl 0.000 0.000 10.163
Tl 0.000 0.000 16.897
Tl 0.000 0.000 23.663
```

Summary:
Energy relative to the elements   -389 meV per atom

=====

No. 7
Material: CaNd6Sm2Tm
Method: DFT, GGA-PBE
State: optimized geometry

```
20
Lattice="4.671 -7.777 0.000 4.671 7.777 0.000 -1.067 0.000 9.726" Properties=species:S:1:pos:R:3 pbc="T T T"
Ca 3.871 7.389 7.295
Ca 4.405 -7.389 2.432
Nd 1.955 4.241 6.661
Nd 4.063 4.826 0.536
Nd 4.746 4.826 4.327
Nd 2.750 1.641 8.580
Nd 5.788 4.241 7.928
Nd 4.993 1.641 6.009
Nd 3.283 -1.641 3.717
Nd 2.488 -4.241 1.798
Nd 5.526 -1.641 1.146
Nd 3.530 -4.826 5.399
Nd 4.213 -4.826 9.190
Nd 6.321 -4.241 3.065
Sm 1.793 0.851 5.299
Sm 2.326 -0.851 0.436
Sm 5.950 0.851 9.290
Sm 6.483 -0.851 4.427
Tm 4.405 1.408 2.432
Tm 3.871 -1.408 7.295
```

Summary:
Energy relative to the elements   118 meV per atom

=====

No. 8
Material: CaNd6SmTm2
Method: DFT, GGA-PBE
State: optimized geometry

```
20
Lattice="4.625 -7.721 0.000 4.625 7.721 0.000 -1.440 0.000 9.783" Properties=species:S:1:pos:R:3 pbc="T T T"
Ca 3.545 6.206 7.337
Ca 4.265 -6.206 2.446
Nd 3.143 6.083 3.700
Nd 2.477 3.557 1.727
Nd 5.387 6.083 1.191
Nd 3.239 2.689 5.402
Nd 3.851 2.689 9.272
Nd 6.053 3.557 3.164
Nd 1.757 -3.557 6.619
Nd 3.959 -2.689 0.511
Nd 4.571 -2.689 4.381
Nd 2.423 -6.083 8.591
Nd 5.333 -3.557 8.056
Nd 4.667 -6.083 6.083
Sm 4.265 0.438 2.446
Sm 3.545 -0.438 7.337
Tm 0.964 0.769 9.339
Tm 1.684 -0.769 4.448
Tm 6.127 0.769 5.335
Tm 6.847 -0.769 0.443
```

Summary:
Energy relative to the elements   134 meV per atom

=====

No. 9
Material: CaNdSmY
Method: DFT, GGA-PBE
State: optimized geometry

```
4
Lattice="0.000 4.131 4.131 4.131 0.000 4.131 4.131 4.131 0.000" Properties=species:S:1:pos:R:3 pbc="T T T"
Ca 0.000 0.000 0.000
Nd 6.197 6.197 6.197
Sm 2.066 2.066 2.066
Y 4.131 4.131 4.131
```

Summary:
Energy relative to the elements   125 meV per atom

=====

No. 10
Material: CaNd6SmY2
Method: DFT, GGA-PBE
State: optimized geometry

```
20
Lattice="4.666 -7.762 0.000 4.666 7.762 0.000 -1.289 0.000 9.782" Properties=species:S:1:pos:R:3 pbc="T T T"
Ca 3.699 6.259 7.337
Ca 4.344 -6.259 2.446
Nd 3.252 6.050 3.711
Nd 2.529 3.559 1.736
Nd 5.436 6.050 1.180
Nd 3.366 2.694 5.425
Nd 4.032 2.694 9.248
Nd 6.159 3.559 3.155
Nd 1.884 -3.559 6.627
Nd 4.011 -2.694 0.534
Nd 4.677 -2.694 4.357
Nd 2.607 -6.050 8.602
Nd 5.514 -3.559 8.046
Nd 4.791 -6.050 6.071
Sm 4.344 0.482 2.446
Sm 3.699 -0.482 7.337
Y 1.116 0.743 9.331
Y 1.760 -0.743 4.440
Y 6.283 0.743 5.342
Y 6.927 -0.743 0.451
```

Summary:
Energy relative to the elements   134 meV per atom

=====

No. 11
Material: Ca2Nd2SmY6
Method: DFT, GGA-PBE
State: optimized geometry

```
11
Lattice="3.106 -5.420 0.000 3.106 5.420 0.000 -2.304 0.000 12.014" Properties=species:S:1:pos:R:3 pbc="T T T"
Ca 3.106 3.634 0.000
Ca 3.106 -3.634 0.000
Nd 1.954 1.809 6.007
Nd 1.954 -1.809 6.007
Sm -1.152 0.000 6.007
Y -0.130 1.801 8.917
Y 0.921 0.000 3.136
Y -0.130 -1.801 8.917
Y 4.038 1.801 3.097
Y 2.987 0.000 8.878
Y 4.038 -1.801 3.097
```

Summary:
Energy relative to the elements   170 meV per atom

=====

No. 12
Material: CaNdSmY
Method: DFT, GGA-PBE
State: optimized geometry

```
4
Lattice="3.680 0.000 0.000 0.000 3.680 0.000 0.000 0.000 10.493" Properties=species:S:1:pos:R:3 pbc="T T T"
Ca 0.000 0.000 0.000
Nd 1.840 1.840 7.651
Sm 0.000 0.000 5.173
Y 1.840 1.840 2.746
```

Summary:
Energy relative to the elements   55 meV per atom

=====

No. 13
Material: CaNd6Sm3Y2
Method: DFT, GGA-PBE
State: optimized geometry

```
12
Lattice="3.181 -5.511 0.000 3.181 5.511 0.000 -2.105 0.000 11.864" Properties=species:S:1:pos:R:3 pbc="T T T"
Ca 0.000 0.000 0.000
Nd 1.090 1.874 2.979
Nd 0.050 0.000 8.878
Nd 1.090 -1.874 2.979
Nd 3.167 1.874 8.885
Nd 4.208 0.000 2.986
Nd 3.167 -1.874 8.885
Sm 2.129 3.677 5.932
Sm 2.129 0.000 5.932
Sm 2.129 -3.677 5.932
Y 3.181 1.838 0.000
Y 3.181 -1.838 0.000
```

Summary:
Energy relative to the elements   31 meV per atom

=====

No. 14
Material: CaNd2Sm6Y3
Method: DFT, GGA-PBE
State: optimized geometry

```
12
Lattice="3.154 -5.464 0.000 3.154 5.464 0.000 -2.093 0.000 11.842" Properties=species:S:1:pos:R:3 pbc="T T T"
Ca 0.000 0.000 0.000
Nd 3.154 1.824 0.000
Nd 3.154 -1.824 0.000
Sm 1.074 1.848 3.021
Sm 0.032 0.000 8.813
Sm 1.074 -1.848 3.021
Sm 3.141 1.848 8.820
Sm 4.183 0.000 3.028
Sm 3.141 -1.848 8.820
Y 2.107 3.651 5.921
Y 2.107 0.000 5.921
Y 2.107 -3.651 5.921
```

Summary:
Energy relative to the elements   32 meV per atom

=====

No. 15
Material: CaNd4Sn15
Method: DFT, GGA-PBE
State: optimized geometry

```
20
Lattice="4.730 0.000 0.000 0.000 4.730 0.000 0.000 0.000 24.298" Properties=species:S:1:pos:R:3 pbc="T T T"
Ca 0.000 0.000 0.000
Nd 0.000 0.000 4.883
Nd 0.000 0.000 9.718
Nd 0.000 0.000 14.580
Nd 0.000 0.000 19.415
Sn 0.000 2.365 2.404
Sn 0.000 2.365 7.288
Sn 0.000 2.365 12.149
Sn 0.000 2.365 17.010
Sn 0.000 2.365 21.893
Sn 2.365 0.000 2.404
Sn 2.365 0.000 7.288
Sn 2.365 0.000 12.149
Sn 2.365 0.000 17.010
Sn 2.365 0.000 21.893
Sn 2.365 2.365 0.000
Sn 2.365 2.365 4.827
Sn 2.365 2.365 9.725
Sn 2.365 2.365 14.573
Sn 2.365 2.365 19.471
```

Summary:
Energy relative to the elements   -473 meV per atom

=====

No. 16
Material: Ca2NdSn
Method: DFT, GGA-PBE
State: optimized geometry

```
4
Lattice="0.000 3.970 3.970 3.970 0.000 3.970 3.970 3.970 0.000" Properties=species:S:1:pos:R:3 pbc="T T T"
Ca 1.985 1.985 1.985
Ca 5.955 5.955 5.955
Nd 0.000 0.000 0.000
Sn 3.970 3.970 3.970
```

Summary:
Energy relative to the elements   -141 meV per atom

=====

No. 17
Material: CaNd2Sn
Method: DFT, GGA-PBE
State: optimized geometry

```
4
Lattice="0.000 3.942 3.942 3.942 0.000 3.942 3.942 3.942 0.000" Properties=species:S:1:pos:R:3 pbc="T T T"
Ca 0.000 0.000 0.000
Nd 1.971 1.971 1.971
Nd 5.914 5.914 5.914
Sn 3.942 3.942 3.942
```

Summary:
Energy relative to the elements   -296 meV per atom

=====

No. 18
Material: CaNdSn2
Method: DFT, GGA-PBE
State: optimized geometry

```
4
Lattice="4.351 0.000 0.000 0.000 2.375 5.846 0.000 -2.375 5.846" Properties=species:S:1:pos:R:3 pbc="T T T"
Ca 0.000 0.000 0.000
Nd 2.176 0.000 8.530
Sn 0.000 0.000 3.233
Sn 2.176 0.000 5.283
```

Summary:
Energy relative to the elements   -701 meV per atom

=====

No. 19
Material: CaNdSn2
Method: DFT, GGA-PBE
State: optimized geometry

```
4
Lattice="3.526 0.000 0.000 0.000 3.526 0.000 0.000 0.000 9.136" Properties=species:S:1:pos:R:3 pbc="T T T"
Ca 0.000 0.000 0.000
Nd 0.000 0.000 4.568
Sn 1.763 1.763 2.271
Sn 1.763 1.763 6.865
```

Summary:
Energy relative to the elements   -650 meV per atom

=====

No. 20
Material: Ca3NdSn2
Method: DFT, GGA-PBE
State: optimized geometry

```
12
Lattice="5.345 0.000 0.000 0.000 9.595 0.000 0.000 0.000 7.160" Properties=species:S:1:pos:R:3 pbc="T T T"
Ca 0.000 0.319 0.000
Ca 0.000 3.118 2.200
Ca 0.000 6.477 5.780
Ca 0.000 9.276 3.580
Ca 2.673 1.608 5.159
Ca 2.673 7.987 1.579
Nd 2.673 4.584 0.181
Nd 2.673 5.010 3.761
Sn 0.000 3.308 5.539
Sn 0.000 6.286 1.960
Sn 2.673 1.553 1.793
Sn 2.673 8.041 5.372
```

Summary:
Energy relative to the elements   -611 meV per atom

=====

No. 21
Material: CaNdSn4
Method: DFT, GGA-PBE
State: optimized geometry

```
12
Lattice="2.427 -10.993 0.000 2.427 10.993 0.000 0.000 0.000 6.571" Properties=species:S:1:pos:R:3 pbc="T T T"
Ca 2.427 6.037 4.928
Ca 2.427 -6.037 1.643
Nd 2.427 9.430 1.643
Nd 2.427 -9.430 4.928
Sn 2.427 9.238 4.928
Sn 2.427 3.289 0.049
Sn 2.427 3.289 3.236
Sn 2.427 0.000 0.000
Sn 2.427 0.000 3.286
Sn 2.427 -3.289 3.335
Sn 2.427 -3.289 6.522
Sn 2.427 -9.238 1.643
```

Summary:
Energy relative to the elements   -496 meV per atom